No. 1
A relaxed structure of Tb4ErAg, computed with PBE.

## Properties
Space-group type: Cmc2_1
Excess energy over the best structure of this formula in the dataset (eV/atom): 0.1225
Formation enthalpy at 0 K (eV per atom): 0.043

Lattice parameters (Å, degrees): 10.7085 10.7085 6.4116 90.00 90.00 150.59
Sites, in units of the cell vectors:
1 Tb 0.0353 0.9647 0.5000
2 Tb 0.1777 0.8223 0.3095
3 Tb 0.2452 0.7548 0.7916
4 Tb 0.4350 0.5650 0.6693
5 Tb 0.5650 0.4350 0.1693
6 Tb 0.7548 0.2452 0.2916
7 Tb 0.8223 0.1777 0.8095
8 Tb 0.9647 0.0353 0.0000
9 Er 0.3656 0.6344 0.1678
10 Er 0.6344 0.3656 0.6678
11 Ag 0.1043 0.8957 0.9097
12 Ag 0.8957 0.1043 0.4097

=====

No. 2
A relaxed structure of LiPrMg2Au2, computed with PBE.

## Properties
Space-group type: I4/mmm
Formation enthalpy at 0 K (eV per atom): -0.183

Lattice parameters (Å, degrees): 4.3893 4.3893 15.3332 90.00 90.00 90.00
Sites, in units of the cell vectors:
1 Li 0.0000 0.0000 0.0000
2 Li 0.5000 0.5000 0.5000
3 Pr 0.0000 0.0000 0.5000
4 Pr 0.5000 0.5000 0.0000
5 Mg 0.0000 0.5000 0.2500
6 Mg 0.0000 0.5000 0.7500
7 Mg 0.5000 0.0000 0.2500
8 Mg 0.5000 0.0000 0.7500
9 Au 0.0000 0.0000 0.1492
10 Au 0.0000 0.0000 0.8508
11 Au 0.5000 0.5000 0.3508
12 Au 0.5000 0.5000 0.6492

=====

No. 3
A relaxed structure of K2Tl2Pt, computed with PBE.

## Properties
Space-group type: I4_1/amd
Excess energy over the best structure of this formula in the dataset (eV/atom): 0.0640
Formation enthalpy at 0 K (eV per atom): -0.113

Lattice parameters (Å, degrees): 16.1677 16.1677 16.1677 162.58 162.58 24.74
Sites, in units of the cell vectors:
1 K 0.0501 0.3001 0.7500
2 K 0.3001 0.0501 0.2500
3 K 0.6999 0.9499 0.7500
4 K 0.9499 0.6999 0.2500
5 Tl 0.1662 0.4162 0.7500
6 Tl 0.4162 0.1662 0.2500
7 Tl 0.5838 0.8338 0.7500
8 Tl 0.8338 0.5838 0.2500
9 Pt 0.3750 0.6250 0.7500
10 Pt 0.6250 0.3750 0.2500

=====

No. 4
A relaxed structure of Pr2NdSm, computed with PBE.

## Properties
Space-group type: R3m
Excess energy over the best structure of this formula in the dataset (eV/atom): 0.0025
Formation enthalpy at 0 K (eV per atom): 0.014

Lattice parameters (Å, degrees): 3.7018 3.7018 35.8887 90.00 90.00 120.00
Sites, in units of the cell vectors:
1 Pr 0.0000 0.0000 0.0000
2 Pr 0.0000 0.0000 0.1656
3 Pr 0.3333 0.6667 0.6667
4 Pr 0.3333 0.6667 0.8323
5 Pr 0.6667 0.3333 0.3333
6 Pr 0.6667 0.3333 0.4990
7 Nd 0.0000 0.0000 0.5820
8 Nd 0.3333 0.6667 0.2487
9 Nd 0.6667 0.3333 0.9153
10 Sm 0.0000 0.0000 0.7493
11 Sm 0.3333 0.6667 0.4160
12 Sm 0.6667 0.3333 0.0826

=====

No. 5
A relaxed structure of MgCoBr, computed with PBE.

## Properties
Space-group type: I4mm
Excess energy over the best structure of this formula in the dataset (eV/atom): 0.6733
E_form (uncorrected) (eV/f.u.): 0.59

Lattice parameters (Å, degrees): 3.2085 3.2085 11.3274 90.00 90.00 90.00
Sites, in units of the cell vectors:
1 Mg 0.0000 0.0000 0.0000
2 Mg 0.5000 0.5000 0.5000
3 Co 0.0000 0.0000 0.6362
4 Co 0.5000 0.5000 0.1362
5 Br 0.0000 0.0000 0.2682
6 Br 0.5000 0.5000 0.7682

=====

No. 6
A relaxed structure of SrBi2Pd, computed with PBE.

## Properties
Space-group type: Cmmm
Formation enthalpy at 0 K (eV per atom): -0.542

Lattice parameters (Å, degrees): 6.2411 8.7568 4.4675 90.00 90.00 90.00
Sites, in units of the cell vectors:
1 Sr 0.0000 0.0000 0.0000
2 Sr 0.5000 0.5000 0.0000
3 Bi 0.0000 0.3077 0.5000
4 Bi 0.0000 0.6923 0.5000
5 Bi 0.5000 0.1923 0.5000
6 Bi 0.5000 0.8077 0.5000
7 Pd 0.0000 0.5000 0.0000
8 Pd 0.5000 0.0000 0.0000

=====

| no. | final energy (eV/atom) |
| --- | --- |
| 1 | -4.279 |
| 2 | -2.923 |
| 3 | -2.707 |
| 4 | -4.748 |
| 5 | -3.261 |
| 6 | -4.201 |